Record 1
ZrPa6Ti2 | PBE | relaxed

Lattice parameters (Å, degrees): 8.8290 8.8290 2.9884 90.00 90.00 120.00
With the nearest neighbours (Å) after each atom.
Sites, in units of the cell vectors:
Zr (0.0000, 0.0000, 0.0000)  2 Zr 2.99, 12 Pa 3.33
Pa (0.0000, 0.3375, 0.5000)  5 Pa 2.87-2.99
Pa (0.0000, 0.6625, 0.5000)  5 Pa 2.87-2.99
Pa (0.3375, 0.0000, 0.5000)  5 Pa 2.87-2.99
Pa (0.3375, 0.3375, 0.5000)  5 Pa 2.87-2.99
Pa (0.6625, 0.0000, 0.5000)  5 Pa 2.87-2.99
Pa (0.6625, 0.6625, 0.5000)  5 Pa 2.87-2.99
Ti (0.3333, 0.6667, 0.0000)  2 Ti 2.99, 12 Pa 3.28
Ti (0.6667, 0.3333, 0.0000)  2 Ti 2.99, 12 Pa 3.28

Properties
As for the formation enthalpy at 0 K: 0.04 eV/atom.

---

Record 2
Pa5Tl | PBE | relaxed

Lattice parameters (Å, degrees): 8.8298 8.8298 3.2265 90.00 90.00 143.33
With the nearest neighbours (Å) after each atom.
Sites, in units of the cell vectors:
Pa (0.0000, 0.0000, 0.0000)  6 Pa 3.13-3.23, 4 Tl 3.21
Pa (0.1598, 0.8402, 0.5000)  10 Pa 3.13-3.23
Pa (0.3231, 0.6769, 0.0000)  8 Pa 3.18-3.23, 2 Tl 3.38
Pa (0.6769, 0.3231, 0.0000)  8 Pa 3.18-3.23, 2 Tl 3.38
Pa (0.8402, 0.1598, 0.5000)  10 Pa 3.13-3.23
Tl (0.5000, 0.5000, 0.5000)  8 Pa 3.21-3.38, 2 Tl 3.23

Properties
As for the formation enthalpy at 0 K: 0.08 eV/atom. As for the energy above the most stable polymorph in this dataset: 0 meV/atom.

---

Record 3
PaTl3 | PBE | relaxed

Lattice parameters (Å, degrees): 6.5800 6.5800 6.5800 151.42 62.48 125.72
With the nearest neighbours (Å) after each atom.
Sites, in units of the cell vectors:
Pa (0.0000, 0.0000, 0.0000)  2 Pa 3.25, 10 Tl 3.37-3.46
Tl (0.4423, 0.6959, 0.7464)  9 Tl 3.25-3.47, 3 Pa 3.39-3.42
Tl (0.5090, 0.0090, 0.5000)  8 Tl 3.25-3.47, 4 Pa 3.37-3.46
Tl (0.9495, 0.6959, 0.2536)  9 Tl 3.25-3.47, 3 Pa 3.39-3.42

Properties
As for the formation enthalpy at 0 K: 0.18 eV/atom.

---

Q: Which of these has the lowest formation enthalpy at 0 K?
A: ZrPa6Ti2

---

Please write out number 2 again, unchanged.
Pa5Tl | PBE | relaxed

Lattice parameters (Å, degrees): 8.8298 8.8298 3.2265 90.00 90.00 143.33
With the nearest neighbours (Å) after each atom.
Sites, in units of the cell vectors:
Pa (0.0000, 0.0000, 0.0000)  6 Pa 3.13-3.23, 4 Tl 3.21
Pa (0.1598, 0.8402, 0.5000)  10 Pa 3.13-3.23
Pa (0.3231, 0.6769, 0.0000)  8 Pa 3.18-3.23, 2 Tl 3.38
Pa (0.6769, 0.3231, 0.0000)  8 Pa 3.18-3.23, 2 Tl 3.38
Pa (0.8402, 0.1598, 0.5000)  10 Pa 3.13-3.23
Tl (0.5000, 0.5000, 0.5000)  8 Pa 3.21-3.38, 2 Tl 3.23

Properties
As for the formation enthalpy at 0 K: 0.08 eV/atom. As for the energy above the most stable polymorph in this dataset: 0 meV/atom.